[1]
! TaCdInSiP GGA-PBE optimized geometry; values from VASP
&SYSTEM
  ibrav = 0, nat = 5, ntyp = 5
/
ATOMIC_SPECIES
Ta 180.95 Ta.upf
Cd 112.41 Cd.upf
In 114.82 In.upf
Si 28.09 Si.upf
P 30.97 P.upf
CELL_PARAMETERS angstrom
5.530 0.000 0.000
0.000 2.938 0.000
-1.017 0.000 6.051
ATOMIC_POSITIONS angstrom
Ta 0.000 0.000 0.000
Cd 1.910 1.469 5.291
In 1.644 1.469 2.141
Si 4.329 1.469 1.867
P -0.522 1.469 4.077
! space group: Pm (6)
! ΔE_f (raw): 0.04 eV/atom

[2]
! KAg2SbI6 GGA-PBE optimized geometry; values from VASP
&SYSTEM
  ibrav = 0, nat = 20, ntyp = 4
/
ATOMIC_SPECIES
K 39.10 K.upf
Ag 107.87 Ag.upf
Sb 121.76 Sb.upf
I 126.90 I.upf
CELL_PARAMETERS angstrom
7.607 -7.233 0.000
7.607 7.233 0.000
-1.300 0.000 8.016
ATOMIC_POSITIONS angstrom
K 6.632 6.022 6.012
K 7.282 -6.022 2.004
Ag 5.124 1.157 5.828
Ag 5.774 -1.157 1.820
Ag 8.140 1.157 6.196
Ag 8.790 -1.157 2.188
Sb 7.282 3.519 2.004
Sb 6.632 -3.519 6.012
I 1.002 1.674 5.219
I 4.583 3.462 7.292
I 1.652 -1.674 1.211
I 5.185 1.292 3.035
I 8.681 3.462 4.732
I 4.535 -1.292 7.043
I 9.379 1.292 0.974
I 5.233 -3.462 3.284
I 8.729 -1.292 4.982
I 12.262 1.674 6.805
I 9.331 -3.462 0.724
I 12.912 -1.674 2.797
! space group: C2/c (15)
! ΔE_f (raw): -0.51 eV/atom

[3]
! Y3NbRe GGA-PBE optimized geometry; values from VASP
&SYSTEM
  ibrav = 0, nat = 5, ntyp = 3
/
ATOMIC_SPECIES
Y 88.91 Y.upf
Nb 92.91 Nb.upf
Re 186.21 Re.upf
CELL_PARAMETERS angstrom
5.251 0.000 0.000
0.000 5.251 0.000
0.000 0.000 5.251
ATOMIC_POSITIONS angstrom
Y 0.000 0.000 2.625
Y 0.000 2.625 0.000
Y 2.625 0.000 0.000
Nb 0.000 0.000 0.000
Re 2.625 2.625 2.625
! space group: Pm-3m (221)
! calculated formation energy: 1.403 eV per atom

[4]
! K2TiAuO4 GGA-PBE optimized geometry; values from VASP
&SYSTEM
  ibrav = 0, nat = 8, ntyp = 4
/
ATOMIC_SPECIES
K 39.10 K.upf
Ti 47.87 Ti.upf
Au 196.97 Au.upf
O 16.00 O.upf
CELL_PARAMETERS angstrom
-3.137 3.137 3.464
3.137 -3.137 3.464
3.137 3.137 -3.464
ATOMIC_POSITIONS angstrom
K 0.000 0.000 0.000
K 0.000 3.137 1.732
Ti 3.137 0.000 1.732
Au 0.000 0.000 3.464
O 1.917 -0.852 2.828
O 2.286 1.220 0.636
O 1.220 3.989 -0.636
O 0.852 1.917 4.099
! space group: I-4 (82)
! ΔE_f (raw): -1.70 eV/atom

[5]
! LaVN3 GGA-PBE optimized geometry; values from VASP
&SYSTEM
  ibrav = 0, nat = 10, ntyp = 3
/
ATOMIC_SPECIES
La 138.91 La.upf
V 50.94 V.upf
N 14.01 N.upf
CELL_PARAMETERS angstrom
3.700 0.000 0.000
-0.123 5.620 0.000
-1.139 -1.215 5.995
ATOMIC_POSITIONS angstrom
La 0.072 1.409 1.488
La 2.366 2.996 4.507
V 0.693 0.191 4.748
V 1.745 4.214 1.246
N -0.132 4.112 1.910
N 0.646 3.623 2.924
N 1.850 0.000 0.000
N 1.789 2.810 0.000
N 1.792 0.782 3.071
N 2.571 0.293 4.085
! space group: P-1 (2)
! ΔE_f (raw): -0.94 eV/atom

[6]
! MoIrN3 GGA-PBE optimized geometry; values from VASP
&SYSTEM
  ibrav = 0, nat = 5, ntyp = 3
/
ATOMIC_SPECIES
Mo 95.94 Mo.upf
Ir 192.22 Ir.upf
N 14.01 N.upf
CELL_PARAMETERS angstrom
3.915 0.000 0.000
0.000 3.915 0.000
0.000 0.000 3.915
ATOMIC_POSITIONS angstrom
Mo 0.000 0.000 0.000
Ir 1.958 1.958 1.958
N 0.000 0.000 1.958
N 0.000 1.958 0.000
N 1.958 0.000 0.000
! space group: Pm-3m (221)
! ΔE_f (raw): 1.45 eV/atom

[7]
! LiSmPd5 GGA-PBE optimized geometry; values from VASP
&SYSTEM
  ibrav = 0, nat = 7, ntyp = 3
/
ATOMIC_SPECIES
Li 6.94 Li.upf
Sm 150.36 Sm.upf
Pd 106.42 Pd.upf
CELL_PARAMETERS angstrom
4.204 0.000 0.000
0.000 4.204 0.000
0.000 0.000 6.836
ATOMIC_POSITIONS angstrom
Li 0.000 0.000 0.000
Sm 2.102 2.102 3.418
Pd 0.000 0.000 3.418
Pd 0.000 2.102 1.406
Pd 0.000 2.102 5.430
Pd 2.102 0.000 1.406
Pd 2.102 0.000 5.430
! space group: P4/mmm (123)
! calculated formation energy: -0.422 eV per atom

[8]
! Rb4NiCl5 GGA-PBE optimized geometry; values from VASP
&SYSTEM
  ibrav = 0, nat = 10, ntyp = 3
/
ATOMIC_SPECIES
Rb 85.47 Rb.upf
Ni 58.69 Ni.upf
Cl 35.45 Cl.upf
CELL_PARAMETERS angstrom
-4.958 4.958 3.325
4.958 -4.958 3.325
4.958 4.958 -3.325
ATOMIC_POSITIONS angstrom
Rb 6.989 0.922 0.000
Rb 0.922 2.927 0.000
Rb 4.036 2.031 3.325
Rb -2.031 4.036 3.325
Ni 0.000 0.000 2.989
Cl 0.000 0.000 0.621
Cl 4.158 2.468 0.039
Cl 2.490 -0.800 3.363
Cl 2.468 5.758 0.039
Cl 0.800 2.490 3.363
! space group: I4 (79)
! ΔE_f (raw): -1.45 eV/atom

[9]
! RbBaAu4 GGA-PBE optimized geometry; values from VASP
&SYSTEM
  ibrav = 0, nat = 6, ntyp = 3
/
ATOMIC_SPECIES
Rb 85.47 Rb.upf
Ba 137.33 Ba.upf
Au 196.97 Au.upf
CELL_PARAMETERS angstrom
-2.406 4.219 4.457
2.406 -4.219 4.457
2.406 4.219 -4.457
ATOMIC_POSITIONS angstrom
Rb 0.000 0.000 0.000
Ba 0.000 0.000 4.457
Au 2.406 -1.399 2.320
Au 2.406 1.399 2.320
Au 0.000 2.820 2.137
Au 0.000 5.618 2.137
! space group: Immm (71)
! calculated formation energy: -0.487 eV per atom

[10]
! CrIr2Se GGA-PBE optimized geometry; values from VASP
&SYSTEM
  ibrav = 0, nat = 8, ntyp = 3
/
ATOMIC_SPECIES
Cr 52.00 Cr.upf
Ir 192.22 Ir.upf
Se 78.96 Se.upf
CELL_PARAMETERS angstrom
-2.789 2.789 5.226
2.789 -2.789 5.226
2.789 2.789 -5.226
ATOMIC_POSITIONS angstrom
Cr 0.000 0.000 0.000
Cr 0.000 2.789 2.613
Ir 4.183 1.286 -1.306
Ir 1.286 1.394 1.306
Ir -1.394 1.502 3.919
Ir 1.502 1.394 6.532
Se 2.789 0.000 2.613
Se 0.000 0.000 5.226
! space group: I-42d (122)
! ΔE_f (raw): 0.56 eV/atom

[11]
! TbTm2Ir2 GGA-PBE optimized geometry; values from VASP
&SYSTEM
  ibrav = 0, nat = 10, ntyp = 3
/
ATOMIC_SPECIES
Tb 158.93 Tb.upf
Tm 168.93 Tm.upf
Ir 192.22 Ir.upf
CELL_PARAMETERS angstrom
5.446 0.000 0.000
0.000 4.368 0.000
-1.315 0.000 10.260
ATOMIC_POSITIONS angstrom
Tb 0.152 1.092 2.968
Tb 3.979 3.276 7.292
Tm 0.086 1.092 9.952
Tm 1.322 1.092 6.328
Tm 2.809 3.276 3.932
Tm 4.044 3.276 0.309
Ir 0.226 3.276 4.874
Ir 1.290 3.276 1.440
Ir 2.841 1.092 8.821
Ir 3.905 1.092 5.386
! space group: P2_1/m (11)
! calculated formation energy: -0.767 eV per atom

[12]
! KRbLiSb GGA-PBE optimized geometry; values from VASP
&SYSTEM
  ibrav = 0, nat = 4, ntyp = 4
/
ATOMIC_SPECIES
K 39.10 K.upf
Rb 85.47 Rb.upf
Li 6.94 Li.upf
Sb 121.76 Sb.upf
CELL_PARAMETERS angstrom
0.000 4.028 4.028
4.028 0.000 4.028
4.028 4.028 0.000
ATOMIC_POSITIONS angstrom
K 0.000 0.000 0.000
Rb 6.042 6.042 6.042
Li 4.028 4.028 4.028
Sb 2.014 2.014 2.014
! space group: F-43m (216)
! ΔE_f (raw): -0.36 eV/atom

[13]
! InGaPd2I GGA-PBE optimized geometry; values from VASP
&SYSTEM
  ibrav = 0, nat = 5, ntyp = 4
/
ATOMIC_SPECIES
In 114.82 In.upf
Ga 69.72 Ga.upf
Pd 106.42 Pd.upf
I 126.90 I.upf
CELL_PARAMETERS angstrom
5.012 0.000 0.000
0.000 5.012 0.000
0.000 0.000 5.946
ATOMIC_POSITIONS angstrom
In 0.000 0.000 0.000
Ga 2.506 2.506 0.000
Pd 0.000 2.506 2.973
Pd 2.506 0.000 2.973
I 2.506 2.506 2.973
! space group: P4/mmm (123)
! ΔE_f (raw): 0.47 eV/atom

[14]
! PrZn2BRu2 GGA-PBE optimized geometry; values from VASP
&SYSTEM
  ibrav = 0, nat = 6, ntyp = 4
/
ATOMIC_SPECIES
Pr 140.91 Pr.upf
Zn 65.41 Zn.upf
B 10.81 B.upf
Ru 101.07 Ru.upf
CELL_PARAMETERS angstrom
4.219 0.000 0.000
0.000 4.219 0.000
0.000 0.000 5.536
ATOMIC_POSITIONS angstrom
Pr 0.000 0.000 0.000
Zn 2.110 2.110 1.279
Zn 2.110 2.110 4.256
B 0.000 0.000 2.768
Ru 0.000 2.110 2.768
Ru 2.110 0.000 2.768
! space group: P4/mmm (123)
! calculated formation energy: -0.366 eV per atom

[15]
! NaMgV GGA-PBE optimized geometry; values from VASP
&SYSTEM
  ibrav = 0, nat = 6, ntyp = 3
/
ATOMIC_SPECIES
Na 22.99 Na.upf
Mg 24.30 Mg.upf
V 50.94 V.upf
CELL_PARAMETERS angstrom
2.822 -6.187 0.000
2.822 6.187 0.000
0.000 0.000 3.997
ATOMIC_POSITIONS angstrom
Na 2.822 5.061 2.998
Na 2.822 -5.061 0.999
Mg 2.822 2.527 0.999
Mg 2.822 -2.527 2.998
V 2.822 0.370 2.998
V 2.822 -0.370 0.999
! space group: Cmcm (63)
! calculated formation energy: 0.686 eV per atom

[16]
! YNi2Os GGA-PBE optimized geometry; values from VASP
&SYSTEM
  ibrav = 0, nat = 4, ntyp = 3
/
ATOMIC_SPECIES
Y 88.91 Y.upf
Ni 58.69 Ni.upf
Os 190.23 Os.upf
CELL_PARAMETERS angstrom
0.000 3.161 3.161
3.161 0.000 3.161
3.161 3.161 0.000
ATOMIC_POSITIONS angstrom
Y 0.000 0.000 0.000
Ni 3.161 3.161 3.161
Ni 4.742 4.742 4.742
Os 1.581 1.581 1.581
! space group: F-43m (216)
! calculated formation energy: 0.296 eV per atom

[17]
! SmInPbAu GGA-PBE optimized geometry; values from VASP
&SYSTEM
  ibrav = 0, nat = 4, ntyp = 4
/
ATOMIC_SPECIES
Sm 150.36 Sm.upf
In 114.82 In.upf
Pb 207.20 Pb.upf
Au 196.97 Au.upf
CELL_PARAMETERS angstrom
0.000 3.731 3.731
3.731 0.000 3.731
3.731 3.731 0.000
ATOMIC_POSITIONS angstrom
Sm 0.000 0.000 0.000
In 5.596 5.596 5.596
Pb 3.731 3.731 3.731
Au 1.865 1.865 1.865
! space group: F-43m (216)
! calculated formation energy: -0.333 eV per atom

[18]
! Cd2GaPd4 GGA-PBE optimized geometry; values from VASP
&SYSTEM
  ibrav = 0, nat = 7, ntyp = 3
/
ATOMIC_SPECIES
Cd 112.41 Cd.upf
Ga 69.72 Ga.upf
Pd 106.42 Pd.upf
CELL_PARAMETERS angstrom
-2.100 2.100 6.840
2.100 -2.100 6.840
2.100 2.100 -6.840
ATOMIC_POSITIONS angstrom
Cd 0.000 0.000 3.370
Cd 0.000 0.000 10.311
Ga 0.000 0.000 6.840
Pd 2.100 0.000 1.457
Pd 2.100 0.000 5.384
Pd 0.000 2.100 1.457
Pd 0.000 2.100 5.384
! space group: I4/mmm (139)
! calculated formation energy: -0.413 eV per atom

[19]
! Tm5Bi4Pb GGA-PBE optimized geometry; values from VASP
&SYSTEM
  ibrav = 0, nat = 10, ntyp = 3
/
ATOMIC_SPECIES
Tm 168.93 Tm.upf
Bi 208.98 Bi.upf
Pb 207.20 Pb.upf
CELL_PARAMETERS angstrom
7.368 -2.204 0.000
7.368 2.204 0.000
-5.366 0.000 9.452
ATOMIC_POSITIONS angstrom
Tm 0.000 0.000 0.000
Tm -1.353 0.000 7.537
Tm 2.694 0.000 5.673
Tm 6.677 0.000 3.779
Tm 10.724 0.000 1.916
Bi 1.319 0.000 2.843
Bi 5.348 0.000 0.926
Bi 4.022 0.000 8.526
Bi 8.052 0.000 6.610
Pb -2.683 0.000 4.726
! space group: C2/m (12)
! calculated formation energy: -0.681 eV per atom

[20]
! TbDy6Y2Tm3 GGA-PBE optimized geometry; values from VASP
&SYSTEM
  ibrav = 0, nat = 12, ntyp = 4
/
ATOMIC_SPECIES
Tb 158.93 Tb.upf
Dy 162.50 Dy.upf
Y 88.91 Y.upf
Tm 168.93 Tm.upf
CELL_PARAMETERS angstrom
3.064 -5.299 0.000
3.064 5.299 0.000
-2.030 0.000 11.532
ATOMIC_POSITIONS angstrom
Tb 0.000 0.000 0.000
Dy 1.026 1.763 2.910
Dy 0.002 0.000 8.622
Dy 1.026 -1.763 2.910
Dy 3.071 1.763 8.622
Dy 4.095 0.000 2.910
Dy 3.071 -1.763 8.622
Y 3.064 1.766 0.000
Y 3.064 -1.766 0.000
Tm 2.048 3.532 5.766
Tm 2.048 0.000 5.766
Tm 2.048 -3.532 5.766
! space group: C2/m (12)
! calculated formation energy: 0.021 eV per atom

Number 1: uncorrected energy -5.223 eV per atom. Number 2: uncorrected energy -2.533 eV per atom. Number 3: uncorrected energy -6.979 eV per atom. Number 4: uncorrected energy -5.848 eV per atom. Number 5: uncorrected energy -8.740 eV per atom. Number 6: uncorrected energy -7.486 eV per atom. Number 7: uncorrected energy -5.079 eV per atom. Number 8: uncorrected energy -3.338 eV per atom. Number 9: uncorrected energy -3.154 eV per atom. Number 10: uncorrected energy -7.143 eV per atom. Number 11: uncorrected energy -7.026 eV per atom. Number 12: uncorrected energy -2.381 eV per atom. Number 13: uncorrected energy -3.075 eV per atom. Number 14: uncorrected energy -5.792 eV per atom. Number 15: uncorrected energy -3.325 eV per atom. Number 16: uncorrected energy -7.018 eV per atom. Number 17: uncorrected energy -3.944 eV per atom. Number 18: uncorrected energy -4.074 eV per atom. Number 19: uncorrected energy -4.840 eV per atom. Number 20: uncorrected energy -4.861 eV per atom.